[1]
The following is a PBE-GGA calculation of an optimized crystal structure of AcLa4Er4, from the Alexandria database.

Unit cell a=6.346 b=9.709 c=10.993 alpha=100.61 beta=106.67 gamma=96.39
Space group P-1 (No. 2)
Symmetry-distinct sites (fractional):
Ac1 0.249 0.082 0.302 (multiplicity 2)
La1 0.248 0.744 0.081 (multiplicity 2)
La2 0.250 0.742 0.753 (multiplicity 2)
La3 0.251 0.416 0.530 (multiplicity 2)
La4 0.253 0.087 0.643 (multiplicity 2)
Er1 0.239 0.742 0.413 (multiplicity 2)
Er2 0.250 0.422 0.191 (multiplicity 2)
Er3 0.251 0.415 0.865 (multiplicity 2)
Er4 0.256 0.085 0.973 (multiplicity 2)

Output
Its crystal system is triclinic. The calculation puts the formation energy at 41 meV/atom. The calculation puts the total magnetic moment at 0.00 μB/atom.

=====

[2]
The following is a PBE-GGA calculation of an optimized crystal structure of Hf2V3Co, from the Alexandria database.

Unit cell a=5.1049 b=5.1049 c=12.4834 alpha=90.00 beta=90.00 gamma=120.00
Space group R-3m (No. 166, hexagonal axes)
Symmetry-distinct sites (fractional):
Hf1 0.0000 0.0000 0.1257 (multiplicity 6)
V1 0.0000 0.5000 0.0000 (multiplicity 9)
Co1 0.0000 0.0000 0.5000 (multiplicity 3)

Output
Its crystal system is trigonal. The calculation puts the formation energy at -194 meV/atom. The calculation puts the total magnetic moment at 0.00 μB/atom.

=====

[3]
The following is a PBE-GGA calculation of an optimized crystal structure of CsP2Au2O7, from the Alexandria database.

Unit cell a=5.7966 b=5.7966 c=25.4018 alpha=90.00 beta=90.00 gamma=120.00
Space group R32 (No. 155, hexagonal axes)
Symmetry-distinct sites (fractional):
Cs1 0.0000 0.0000 0.0000 (multiplicity 3)
P1 0.0000 0.0000 0.4373 (multiplicity 6)
Au1 0.0000 0.0000 0.2392 (multiplicity 6)
O1 0.0000 0.0000 0.5000 (multiplicity 3)
O2 0.0069 0.2559 0.4188 (multiplicity 18)

Output
Its crystal system is trigonal. The uncorrected formation energy comes out at -1.396 eV per atom. The calculation puts the total magnetic moment at 0.09 μB/atom.

=====

[4]
The following is a PBE-GGA calculation of an optimized crystal structure of SrCa2, from the Alexandria database.

Unit cell a=8.826 b=8.826 c=7.396 alpha=90.00 beta=90.00 gamma=90.00
Space group I4/mcm (No. 140)
Symmetry-distinct sites (fractional):
Sr1 0.000 0.000 0.250 (multiplicity 4)
Ca1 0.151 0.349 0.000 (multiplicity 8)

Output
Its crystal system is tetragonal. The calculation puts the formation energy at 217 meV/atom. The calculation puts the total magnetic moment at 0.00 μB/atom.

=====

[5]
The following is a PBE-GGA calculation of an optimized crystal structure of CrHgIN2, from the Alexandria database.

Unit cell a=4.250 b=4.250 c=7.058 alpha=90.00 beta=90.00 gamma=90.00
Space group P4/mmm (No. 123)
Symmetry-distinct sites (fractional):
Cr1 0.000 0.000 0.000 (multiplicity 1)
Hg1 0.500 0.500 0.500 (multiplicity 1)
I1 0.500 0.500 0.000 (multiplicity 1)
N1 0.000 0.500 0.500 (multiplicity 2)

Output
Its crystal system is tetragonal. The uncorrected formation energy comes out at 1.866 eV per atom. The calculation puts the total magnetic moment at 0.33 μB/atom.

=====

[6]
The following is a PBE-GGA calculation of an optimized crystal structure of MnCoTe3, from the Alexandria database.

Unit cell a=4.937 b=4.937 c=4.937 alpha=90.00 beta=90.00 gamma=90.00
Space group Pm-3m (No. 221)
Symmetry-distinct sites (fractional):
Mn1 0.000 0.000 0.000 (multiplicity 1)
Co1 0.500 0.500 0.500 (multiplicity 1)
Te1 0.000 0.500 0.500 (multiplicity 3)

Output
Its crystal system is cubic. The uncorrected formation energy comes out at 1.050 eV per atom. The calculation puts the total magnetic moment at 0.05 μB/atom.